{
  "formula": "InBi2Rh",
  "functional": "GGA-PBE",
  "state": "optimized geometry",
  "dft_energy_ev_per_atom": -4.438,
  "spacegroup": "No. 166",
  "lattice_angstrom": [[3.468, 0.000, 0.000], [1.734, 3.003, 0.000], [1.734, 1.001, 10.532]],
  "species": ["Rh", "Bi", "Bi", "In"],
  "fractional_positions": [[0.500, 0.500, 0.500], [0.105, 0.105, 0.686], [0.895, 0.895, 0.314], [0.000, 0.000, 0.000]]
}


{
  "formula": "Th3Zn4Hg4",
  "functional": "GGA-PBE",
  "state": "optimized geometry",
  "dft_energy_ev_per_atom": -2.789,
  "spacegroup": "No. 71",
  "lattice_angstrom": [[4.408, 0.000, -1.213], [-0.821, 6.633, -2.982], [0.022, -0.127, 8.693]],
  "species": ["Th", "Th", "Th", "Zn", "Zn", "Zn", "Zn", "Hg", "Hg", "Hg", "Hg"],
  "fractional_positions": [[0.121, 0.121, 0.242], [0.879, 0.879, 0.758], [0.000, 0.500, 0.000], [0.217, 0.717, 0.435], [0.783, 0.283, 0.565], [0.500, 0.823, 0.000], [0.500, 0.177, 0.000], [0.334, 0.135, 0.668], [0.666, 0.468, 0.332], [0.666, 0.865, 0.332], [0.334, 0.532, 0.668]]
}


{
  "formula": "Zn6Au",
  "functional": "GGA-PBE",
  "state": "optimized geometry",
  "dft_energy_ev_per_atom": -0.979,
  "spacegroup": "No. 229",
  "lattice_angstrom": [[6.047, 0.000, 0.000], [-2.016, 5.701, 0.000], [-2.016, -2.851, 4.938]],
  "species": ["Zn", "Zn", "Zn", "Zn", "Zn", "Zn", "Au"],
  "fractional_positions": [[0.250, 0.750, 0.500], [0.500, 0.750, 0.250], [0.250, 0.500, 0.750], [0.750, 0.250, 0.500], [0.500, 0.250, 0.750], [0.750, 0.500, 0.250], [0.000, 0.000, 0.000]]
}


{
  "formula": "AcLa2Al4",
  "functional": "GGA-PBE",
  "state": "optimized geometry",
  "dft_energy_ev_per_atom": -4.508,
  "spacegroup": "No. 71",
  "lattice_angstrom": [[4.315, 0.000, -0.984], [-0.241, 4.524, -1.057], [0.085, 0.025, 10.325]],
  "species": ["Ac", "Al", "Al", "Al", "Al", "La", "La"],
  "fractional_positions": [[0.500, 0.000, 0.000], [0.640, 0.640, 0.281], [0.360, 0.360, 0.719], [0.067, 0.567, 0.134], [0.933, 0.433, 0.866], [0.814, 0.814, 0.629], [0.186, 0.186, 0.371]]
}


{
  "formula": "ZrCuPd5",
  "functional": "GGA-PBE",
  "state": "optimized geometry",
  "dft_energy_ev_per_atom": -5.906,
  "spacegroup": "No. 123",
  "lattice_angstrom": [[4.147, 0.000, 0.000], [0.000, 4.147, 0.000], [0.000, 0.000, 6.751]],
  "species": ["Zr", "Cu", "Pd", "Pd", "Pd", "Pd", "Pd"],
  "fractional_positions": [[0.000, 0.000, 0.500], [0.500, 0.500, 0.000], [0.000, 0.500, 0.780], [0.000, 0.500, 0.220], [0.500, 0.000, 0.780], [0.500, 0.000, 0.220], [0.500, 0.500, 0.500]]
}


{
  "formula": "Cr2SbBr",
  "functional": "GGA-PBE",
  "state": "optimized geometry",
  "e_form_raw_ev_per_atom": 0.2184,
  "dft_energy_ev_per_atom": -6.042,
  "spacegroup": "No. 99",
  "lattice_angstrom": [[3.980, 0.000, 0.000], [0.000, 3.979, 0.000], [0.000, 0.000, 5.658]],
  "species": ["Br", "Cr", "Cr", "Sb"],
  "fractional_positions": [[0.500, 0.500, 0.875], [0.000, 0.000, 0.876], [0.500, 0.500, 0.374], [0.000, 0.000, 0.376]]
}